Compound: SiBiTe2
Source: Alexandria
Functional: GGA-PBE
Structure: relaxed

Excess energy over the best structure of this formula in the dataset in meV per atom: 227
Fermi-level density of states in states/eV per atom: 0.44
Total energy in eV per atom: -3.551
Formation energy (no corrections) in meV per atom: 346

```
SiBiTe2
1.0
0.0000 3.7779 3.7779
3.7779 0.0000 3.7779
3.7779 3.7779 0.0000
Te Si Bi
2 1 1
direct
0.7500 0.7500 0.7500
0.2500 0.2500 0.2500
0.0000 0.0000 0.0000
0.5000 0.5000 0.5000
```